1.
VASP calculation (GGA-PBE) on a geometry-optimized KBi4Rh2 structure.

DFT total energy: -4.685 eV/atom

```
KBi4Rh2
1.0
19.8462 0.0000 0.0000
0.0000 4.6751 0.0000
0.0000 0.0000 7.7152
K Bi Rh
4 16 8
Direct
0.1428 0.2500 0.0005
0.3572 0.7500 0.5005
0.6428 0.2500 0.4995
0.8572 0.7500 0.9995
0.0301 0.7500 0.1351
0.0675 0.2500 0.5165
0.1785 0.7500 0.6975
0.1995 0.7500 0.2788
0.3005 0.2500 0.7788
0.3215 0.2500 0.1975
0.4325 0.7500 0.0165
0.4699 0.2500 0.6351
0.5301 0.7500 0.3649
0.5675 0.2500 0.9835
0.6785 0.7500 0.8025
0.6995 0.7500 0.2212
0.8005 0.2500 0.7212
0.8215 0.2500 0.3025
0.9325 0.7500 0.4835
0.9699 0.2500 0.8649
0.0340 0.7500 0.7493
0.2114 0.2500 0.4817
0.2886 0.7500 0.9817
0.4660 0.2500 0.2493
0.5340 0.7500 0.7507
0.7114 0.2500 0.0183
0.7886 0.7500 0.5183
0.9660 0.2500 0.2507
```


2.
VASP calculation (GGA-PBE) on a geometry-optimized TbGeC structure.

DFT total energy: -6.326 eV/atom

```
TbGeC
1.0
4.4399 -1.9589 0.0000
4.4399 1.9589 0.0000
-1.7995 0.0000 5.7177
Tb Ge C
2 2 2
Direct
0.1116 0.1116 0.3220
0.8884 0.8884 0.6780
0.3570 0.3570 0.0507
0.6430 0.6430 0.9493
0.4178 0.4178 0.4208
0.5822 0.5822 0.5792
```


3.
VASP calculation (GGA-PBE) on a geometry-optimized Ag2PtW structure.

ΔE to the lowest computed polymorph: 0.208 eV per atom

```
Ag2PtW
1.0
2.7458 0.0000 0.0000
0.0000 4.9566 0.0000
-0.1496 0.0000 4.8992
Ag Pt W
2 1 1
Direct
0.2358 0.0000 0.2476
0.7642 0.0000 0.7524
0.0000 0.5000 0.5000
0.5000 0.5000 0.0000
```


4.
VASP calculation (GGA-PBE) on a geometry-optimized SrTaRu2 structure.

ΔE to the lowest computed polymorph: 0.819 eV per atom

```
SrTaRu2
1.0
0.0000 3.2956 3.2956
3.2956 0.0000 3.2956
3.2956 3.2956 0.0000
Sr Ta Ru
1 1 2
Direct
0.0000 0.0000 0.0000
0.2500 0.2500 0.2500
0.5000 0.5000 0.5000
0.7500 0.7500 0.7500
```


5.
VASP calculation (GGA-PBE) on a geometry-optimized Ba4In3Ge structure.

DFT total energy: -2.994 eV/atom

```
Ba4In3Ge
1.0
4.8135 0.0000 0.0000
0.0000 5.0680 0.0000
0.0000 0.0000 13.1269
Ba In Ge
4 3 1
Direct
0.0000 0.0000 0.0000
0.0000 0.5000 0.4751
0.5000 0.0000 0.6992
0.5000 0.5000 0.2086
0.0000 0.5000 0.7789
0.5000 0.0000 0.4052
0.5000 0.5000 0.9154
0.0000 0.0000 0.2756
```


6.
VASP calculation (GGA-PBE) on a geometry-optimized Mg4Ga5Pt2 structure.

DFT total energy: -3.461 eV/atom

```
Mg4Ga5Pt2
1.0
6.9930 0.0000 0.0000
0.0000 3.0555 0.0000
-0.5904 0.0000 9.2743
Mg Ga Pt
4 5 2
Direct
0.1728 0.0000 0.3861
0.2382 0.0000 0.9463
0.7618 0.0000 0.0537
0.8272 0.0000 0.6139
0.1896 0.5000 0.6649
0.4489 0.5000 0.1914
0.5000 0.5000 0.5000
0.5511 0.5000 0.8086
0.8104 0.5000 0.3351
0.0766 0.5000 0.1527
0.9234 0.5000 0.8473
```


no.,D(E_F) (states/eV/cell),magnetic moment (μB per formula unit)
1,9.90,0.00
2,2.35,0.00
3,2.49,0.00
4,4.35,0.00
5,9.67,0.00
6,4.00,0.00